<a>
Crystalline PmSm2Zr at its relaxed geometry. Source: Alexandria via LeMat-Bulk, functional PBE.

Lattice parameters (Å, degrees): 3.508 3.508 11.653 81.34 81.34 60.00
Fractional positions:
Sm 0.078 0.078 0.767
Sm 0.256 0.256 0.232
Pm 0.499 0.499 0.502
Zr 0.667 0.667 0.999

Results
The space-group type is R3m (160). Its calculated density is 7292 kg/m³.

<b>
Crystalline PmSm2Zr at its relaxed geometry. Source: Alexandria via LeMat-Bulk, functional PBE.

Lattice parameters (Å, degrees): 3.418 3.418 12.339 82.04 82.04 60.00
Fractional positions:
Pm 0.500 0.500 0.500
Sm 0.915 0.915 0.255
Sm 0.085 0.085 0.745
Zr 0.000 0.000 0.000

Results
The space-group type is R-3m (166). Its calculated density is 7236 kg/m³.

Relative energies, eV/atom: <a> 0.000; <b> 0.214.

<a>
Crystalline PmSmZr at its relaxed geometry. Source: Alexandria via LeMat-Bulk, functional PBE.

Lattice parameters (Å, degrees): 3.411 5.474 5.474 120.00 90.00 90.00
Fractional positions:
Sm 0.667 0.667 0.333
Pm 0.166 0.000 0.000
Zr 0.167 0.333 0.667

Results
The space-group type is P-6m2 (187). Its calculated density is 7251 kg/m³.

<b>
Crystalline PmSmZr at its relaxed geometry. Source: Alexandria via LeMat-Bulk, functional PBE.

Lattice parameters (Å, degrees): 3.428 3.428 7.960 102.44 102.44 90.00
Fractional positions:
Pm 0.678 0.678 0.356
Sm 0.988 0.988 0.976
Zr 0.334 0.334 0.668

Results
The space-group type is I4mm (107). Its calculated density is 7203 kg/m³.

<c>
Crystalline PmSmZr at its relaxed geometry. Source: Alexandria via LeMat-Bulk, functional PBE.

Lattice parameters (Å, degrees): 4.801 3.470 10.671 90.00 90.00 90.01
Fractional positions:
Zr 0.847 0.745 0.979
Zr 0.347 0.245 0.844
Pm 0.847 0.745 0.682
Pm 0.347 0.245 0.141
Sm 0.847 0.745 0.319
Sm 0.347 0.245 0.505

Results
The space-group type is Pmmn (59). Its calculated density is 7222 kg/m³.

Relative energies, eV/atom: <a> 0.063; <b> 0.000; <c> 0.009.

<a>
Crystalline PmSmZr at its relaxed geometry. Source: Alexandria via LeMat-Bulk, functional PBE.

Lattice parameters (Å, degrees): 4.954 3.398 10.627 99.33 90.00 90.00
Fractional positions:
Zr 0.847 0.780 0.980
Zr 0.347 0.210 0.843
Pm 0.347 0.042 0.513
Pm 0.847 0.947 0.311
Sm 0.847 0.627 0.679
Sm 0.347 0.362 0.144

Results
The space-group type is P2_1/m (11). Its calculated density is 7273 kg/m³.

<b>
Crystalline PmSmZr at its relaxed geometry. Source: Alexandria via LeMat-Bulk, functional PBE.

Lattice parameters (Å, degrees): 5.827 5.827 11.361 59.67 59.67 33.49
Fractional positions:
Sm 0.342 0.342 0.932
Sm 0.178 0.178 0.758
Zr 0.740 0.740 0.213
Zr 0.533 0.533 0.080
Pm 0.915 0.915 0.377
Pm 0.551 0.551 0.562

Results
The space-group type is Cm (8). Its calculated density is 7097 kg/m³.

Relative energies, eV/atom: <a> 0.000; <b> 0.041.

<a>
Crystalline Pm3Sn2 at its relaxed geometry. Source: Alexandria via LeMat-Bulk, functional PBE.

Lattice parameters (Å, degrees): 6.272 6.272 9.055 110.26 110.26 90.00
Last column: magnetic moment on the atom in μB.
Fractional positions:
Sn 0.956 0.956 0.912  -0.01
Sn 0.309 0.809 0.618  -0.01
Sn 0.706 0.206 0.412  -0.01
Sn 0.559 0.559 0.118  -0.01
Pm 0.132 0.883 0.265  0.11
Pm 0.757 0.757 0.515  0.00
Pm 0.507 0.007 0.015  0.00
Pm 0.132 0.382 0.265  0.11
Pm 0.633 0.382 0.765  0.11
Pm 0.132 0.382 0.765  0.11

Results
The space-group type is I4_1/amd (141). Its calculated density is 7190 kg/m³.

<b>
Crystalline Pm3Sn2 at its relaxed geometry. Source: Alexandria via LeMat-Bulk, functional PBE.

Lattice parameters (Å, degrees): 4.113 4.113 9.218 102.89 102.89 90.00
Last column: magnetic moment on the atom in μB.
Fractional positions:
Pm 0.809 0.809 0.618  0.28
Pm 0.191 0.191 0.382  0.28
Pm 0.000 0.000 0.000  0.05
Sn 0.606 0.606 0.212  -0.02
Sn 0.394 0.394 0.788  -0.02

Results
The space-group type is I4/mmm (139). Its calculated density is 7546 kg/m³.

Relative energies, eV/atom: <a> 0.000; <b> 0.053.

<a>
Crystalline Pm5Sn3 at its relaxed geometry. Source: Alexandria via LeMat-Bulk, functional PBE.

Lattice parameters (Å, degrees): 6.783 9.234 9.234 120.00 90.00 90.00
Fractional positions:
Sn 0.250 0.394 0.000
Sn 0.750 0.606 0.000
Sn 0.250 0.000 0.394
Sn 0.750 0.000 0.606
Sn 0.750 0.394 0.394
Sn 0.250 0.606 0.606
Pm 0.750 0.759 0.759
Pm 0.000 0.333 0.667
Pm 0.500 0.333 0.667
Pm 0.000 0.667 0.333
Pm 0.250 0.241 0.241
Pm 0.750 0.241 0.000
Pm 0.250 0.759 0.000
Pm 0.250 0.000 0.759
Pm 0.750 0.000 0.241
Pm 0.500 0.667 0.333

Results
The space-group type is P6_3/mcm (193). Its calculated density is 7167 kg/m³.

<b>
Crystalline Pm5Sn3 at its relaxed geometry. Source: Alexandria via LeMat-Bulk, functional PBE.

Lattice parameters (Å, degrees): 8.320 8.320 9.230 116.79 116.79 90.00
Last column: magnetic moment on the atom in μB.
Fractional positions:
Sn 0.750 0.750 0.500  -0.01
Sn 0.635 0.865 0.000  -0.01
Sn 0.365 0.135 0.000  -0.01
Sn 0.135 0.635 0.000  -0.01
Sn 0.865 0.365 0.000  -0.01
Sn 0.250 0.250 0.500  -0.01
Pm 0.313 0.486 0.299  0.14
Pm 0.000 0.000 0.000  0.14
Pm 0.813 0.313 0.299  0.14
Pm 0.486 0.986 0.299  0.14
Pm 0.187 0.687 0.701  0.14
Pm 0.986 0.813 0.299  0.14
Pm 0.014 0.187 0.701  0.14
Pm 0.500 0.500 0.000  0.14
Pm 0.687 0.514 0.701  0.14
Pm 0.514 0.014 0.701  0.14

Results
The space-group type is I4/mcm (140). Its calculated density is 7294 kg/m³.

Relative energies, eV/atom: <a> 0.000; <b> 0.045.

<a>
Crystalline Pm4Sn3 at its relaxed geometry. Source: Alexandria via LeMat-Bulk, functional PBE.

Lattice parameters (Å, degrees): 4.682 7.824 8.165 120.16 106.66 90.00
Fractional positions:
Pm 0.618 0.928 0.237
Pm 0.871 0.518 0.743
Pm 0.382 0.072 0.763
Pm 0.129 0.482 0.257
Sn 0.239 0.241 0.478
Sn 0.761 0.759 0.522
Sn 0.000 0.000 0.000

Results
The space-group type is C2/m (12). Its calculated density is 6372 kg/m³.

<b>
Crystalline Pm4Sn3 at its relaxed geometry. Source: Alexandria via LeMat-Bulk, functional PBE.

Lattice parameters (Å, degrees): 8.264 8.264 8.264 109.47 109.47 109.47
Fractional positions:
Sn 0.875 0.250 0.625
Sn 0.125 0.375 0.250
Sn 0.250 0.875 0.125
Sn 0.375 0.125 0.750
Sn 0.625 0.750 0.875
Sn 0.750 0.625 0.375
Pm 0.000 0.000 0.861
Pm 0.139 0.639 0.639
Pm 0.000 0.000 0.361
Pm 0.639 0.139 0.139
Pm 0.500 0.861 0.500
Pm 0.861 0.500 0.000
Pm 0.361 0.500 0.000
Pm 0.500 0.361 0.500

Results
The space-group type is I-43d (220). Its calculated density is 7157 kg/m³.

Relative energies, eV/atom: <a> 0.292; <b> 0.000.